[1]
Computed, not measured: Ti2Ga2Ni at its PBEsol-relaxed geometry at the SCAN level of DFT.

VASP energy: -167.08 eV per cell
Formation energy from the elements: -523 meV/atom
Space group: P4/mbm (127)
DOS(E_F): 5.2 states/eV/cell

abc: 6.1266 6.1266 3.8995
angles: 90.00 90.00 90.00
Closest atoms and distances in Å follow each position.
Atoms (fractional coordinates):
Ti (0.1670, 0.3330, 0.0000)  6 Ga 2.56-2.72
Ti (0.3330, 0.8330, 0.0000)  6 Ga 2.56-2.72
Ti (0.6670, 0.1670, 0.0000)  6 Ga 2.56-2.72
Ti (0.8330, 0.6670, 0.0000)  6 Ga 2.56-2.72
Ga (0.1419, 0.6419, 0.5000)  2 Ni 2.36, 1 Ga 2.46, 2 Ti 2.56
Ga (0.3581, 0.1419, 0.5000)  2 Ni 2.36, 1 Ga 2.46, 2 Ti 2.56
Ga (0.6419, 0.8581, 0.5000)  2 Ni 2.36, 1 Ga 2.46, 2 Ti 2.56
Ga (0.8581, 0.3581, 0.5000)  2 Ni 2.36, 1 Ga 2.46, 2 Ti 2.56
Ni (0.0000, 0.0000, 0.5000)  4 Ga 2.36
Ni (0.5000, 0.5000, 0.5000)  4 Ga 2.36


[2]
Computed, not measured: TcOs2Br at its PBEsol-relaxed geometry at the SCAN level of DFT.

Energy above the lowest structure with this stoichiometry: 0 meV per atom
VASP energy: -195.28 eV per cell
Uncorrected formation energy: 3.004 eV per formula unit
Space group: R3m (160)
DOS(E_F): 3.2 states/eV/cell

abc: 8.8041 8.8041 8.8041
angles: 18.44 18.44 18.44
Closest atoms and distances in Å follow each position.
Atoms (fractional coordinates):
Tc (0.0000, 0.0000, 0.0000)  3 Br 2.62, 3 Os 2.68, 6 Tc 2.82
Os (0.2511, 0.2511, 0.2511)  9 Os 2.65-2.82, 3 Tc 2.68
Os (0.5040, 0.5040, 0.5040)  9 Os 2.65-2.82, 3 Br 2.88
Br (0.7460, 0.7460, 0.7460)  3 Tc 2.62, 6 Br 2.82, 3 Os 2.88